No. 1
Density functional theory data (GGA-PBE) for a relaxed structure of CaLa2Re.

Cell and atoms, written as CIF:
```
data_CaLa2Re
_chemical_formula_sum 'Ca1 La2 Re1'
_space_group_name_H-M_alt 'P 1'
_space_group_IT_number 1
_cell_length_a 4.946
_cell_length_b 3.514
_cell_length_c 6.705
_cell_angle_alpha 71.26
_cell_angle_beta 90.00
_cell_angle_gamma 90.00
loop_
_space_group_symop_operation_xyz
'x,y,z'
loop_
_atom_site_label
_atom_site_type_symbol
_atom_site_fract_x
_atom_site_fract_y
_atom_site_fract_z
Re1 Re 0.000 0.413 0.486
Ca1 Ca 0.500 0.689 0.716
La1 La 0.000 0.008 0.009
La2 La 0.500 0.390 0.290
```

E_form: 0.51 eV per atom
Theoretical density: 7.6 Mg/m³
V: 27.6 Å³/atom
Crystal system: monoclinic

***

No. 2
Density functional theory data (GGA-PBE) for a relaxed structure of MgAg6Au3.

Cell and atoms, written as CIF:
```
data_MgAg6Au3
_chemical_formula_sum 'Mg2 Ag12 Au6'
_space_group_name_H-M_alt 'P 1'
_space_group_IT_number 1
_cell_length_a 4.770
_cell_length_b 9.836
_cell_length_c 9.814
_cell_angle_alpha 119.91
_cell_angle_beta 90.00
_cell_angle_gamma 90.00
loop_
_space_group_symop_operation_xyz
'x,y,z'
loop_
_atom_site_label
_atom_site_type_symbol
_atom_site_fract_x
_atom_site_fract_y
_atom_site_fract_z
Mg1 Mg 0.250 0.331 0.000
Mg2 Mg 0.750 0.669 0.000
Ag1 Ag 0.250 0.343 0.504
Ag2 Ag 0.750 0.657 0.496
Ag3 Ag 0.250 0.831 0.987
Ag4 Ag 0.750 0.169 0.013
Ag5 Ag 0.250 0.830 0.510
Ag6 Ag 0.750 0.170 0.490
Ag7 Ag 0.250 0.682 0.174
Ag8 Ag 0.750 0.318 0.826
Ag9 Ag 0.250 0.502 0.835
Ag10 Ag 0.750 0.498 0.165
Ag11 Ag 0.250 0.163 0.180
Ag12 Ag 0.750 0.837 0.820
Au1 Au 0.250 0.158 0.655
Au2 Au 0.750 0.842 0.345
Au3 Au 0.250 0.494 0.330
Au4 Au 0.750 0.506 0.670
Au5 Au 0.250 0.008 0.833
Au6 Au 0.750 0.992 0.167
```

E_form: 0.01 eV per atom
Theoretical density: 10.5 Mg/m³
V: 20.0 Å³/atom
Crystal system: monoclinic

***

Q: What is the formula in the second record?
A: MgAg6Au3

***

What did the second record say?
Density functional theory data (GGA-PBE) for a relaxed structure of MgAg6Au3.

Cell and atoms, written as CIF:
```
data_MgAg6Au3
_chemical_formula_sum 'Mg2 Ag12 Au6'
_space_group_name_H-M_alt 'P 1'
_space_group_IT_number 1
_cell_length_a 4.770
_cell_length_b 9.836
_cell_length_c 9.814
_cell_angle_alpha 119.91
_cell_angle_beta 90.00
_cell_angle_gamma 90.00
loop_
_space_group_symop_operation_xyz
'x,y,z'
loop_
_atom_site_label
_atom_site_type_symbol
_atom_site_fract_x
_atom_site_fract_y
_atom_site_fract_z
Mg1 Mg 0.250 0.331 0.000
Mg2 Mg 0.750 0.669 0.000
Ag1 Ag 0.250 0.343 0.504
Ag2 Ag 0.750 0.657 0.496
Ag3 Ag 0.250 0.831 0.987
Ag4 Ag 0.750 0.169 0.013
Ag5 Ag 0.250 0.830 0.510
Ag6 Ag 0.750 0.170 0.490
Ag7 Ag 0.250 0.682 0.174
Ag8 Ag 0.750 0.318 0.826
Ag9 Ag 0.250 0.502 0.835
Ag10 Ag 0.750 0.498 0.165
Ag11 Ag 0.250 0.163 0.180
Ag12 Ag 0.750 0.837 0.820
Au1 Au 0.250 0.158 0.655
Au2 Au 0.750 0.842 0.345
Au3 Au 0.250 0.494 0.330
Au4 Au 0.750 0.506 0.670
Au5 Au 0.250 0.008 0.833
Au6 Au 0.750 0.992 0.167
```

E_form: 0.01 eV per atom
Theoretical density: 10.5 Mg/m³
V: 20.0 Å³/atom
Crystal system: monoclinic

***

Q: What is the E_form in the first record?
A: 0.51 eV per atom